Compound: Eu2Zr2O7
Source: the Alexandria database
Functional: SCAN
Structure: single point on PBEsol structure

Lattice parameters (Å, degrees): 10.5686 10.5686 10.5686 90.00 90.00 90.00
Space group Fd-3m (No. 227, origin choice 2)
Inequivalent atoms, fractional coordinates:
Eu: 0.0000 0.0000 0.0000 x16
Zr: 0.0000 0.0000 0.5000 x16
O: 0.0867 0.3750 0.8750 x48
O: 0.1250 0.1250 0.1250 x8

Summary:
- ΔE_f (raw): -3476.7 meV/atom
- VASP energy: -22.789 eV per atom

=====

Compound: CsTe2HN
Source: the Alexandria database
Functional: SCAN
Structure: single point on PBEsol structure

Lattice parameters (Å, degrees): 7.1131 7.1131 3.7521 90.00 90.00 90.00
Space group P4/mmm (No. 123)
Inequivalent atoms, fractional coordinates:
Cs: 0.0000 0.0000 0.0000 x1
Te: 0.0000 0.5000 0.0000 x2
H: 0.0000 0.0000 0.5000 x1
N: 0.5000 0.5000 0.5000 x1

Summary:
- VASP energy: -23.291 eV per atom